# BaReNO2

Crystalline BaReNO2 at its relaxed geometry (GGA-PBEsol, Alexandria via LeMat-Bulk).

Lattice parameters (Å, degrees): 4.0569 4.0569 3.9082 90.00 90.00 90.00
Sites, in units of the cell vectors:
Ba: 0.0000 0.0000 0.0000
Re: 0.5000 0.5000 0.5000
N: 0.5000 0.5000 0.0000
O: 0.0000 0.5000 0.5000
O: 0.5000 0.0000 0.5000

Output
- DFT total energy: -8.4923 eV/atom
- Energy relative to the elements, uncorrected: -8.0 eV per formula unit
- SG: P4/mmm

***

# Ca2BrO

Crystalline Ca2BrO at its relaxed geometry (GGA-PBEsol, Alexandria via LeMat-Bulk).

Lattice parameters (Å, degrees): 6.8802 6.8802 6.8802 126.58 126.58 78.94
Sites, in units of the cell vectors:
Ca: 0.0260 0.1250 0.4010
Ca: 0.3750 0.9740 0.0990
Ca: 0.7240 0.6250 0.5990
Ca: 0.8750 0.2760 0.9010
Br: 0.2500 0.7500 0.5000
Br: 0.5000 0.5000 0.0000
O: 0.0000 0.0000 0.0000
O: 0.7500 0.2500 0.5000

Output
- DFT total energy: -4.8652 eV/atom
- Energy relative to the elements, uncorrected: -8.1 eV per formula unit
- SG: I-42d

***

# HoNiAs

Crystalline HoNiAs at its relaxed geometry (GGA-PBEsol, Alexandria via LeMat-Bulk).

Lattice parameters (Å, degrees): 3.9925 3.9925 7.5410 90.00 90.00 120.00
Sites, in units of the cell vectors:
Ho: 0.0000 0.0000 0.0000
Ho: 0.0000 0.0000 0.5000
Ni: 0.3333 0.6667 0.2500
Ni: 0.6667 0.3333 0.7500
As: 0.3333 0.6667 0.7500
As: 0.6667 0.3333 0.2500

Output
- DFT total energy: -6.4995 eV/atom
- Formation energy from the elements: -3.28 eV per formula unit
- SG: P6_3/mmc

***

# KHg2Mo

Crystalline KHg2Mo at its relaxed geometry (GGA-PBEsol, Alexandria via LeMat-Bulk).

Lattice parameters (Å, degrees): 5.3681 5.3681 2.8809 90.00 90.00 90.00
Sites, in units of the cell vectors:
K: 0.0000 0.0000 0.0000
Hg: 0.0000 0.5000 0.5000
Hg: 0.5000 0.0000 0.5000
Mo: 0.5000 0.5000 0.0000

Output
- DFT total energy: -2.9771 eV/atom
- Formation energy from the elements: 2.13 eV per formula unit
- SG: P4/mmm

***

# ScSb2RhC

Crystalline ScSb2RhC at its relaxed geometry (GGA-PBEsol, Alexandria via LeMat-Bulk).

Lattice parameters (Å, degrees): 4.9098 4.9098 4.8823 90.00 90.00 90.00
Sites, in units of the cell vectors:
Sc: 0.0000 0.0000 0.0000
Sb: 0.0000 0.5000 0.5000
Sb: 0.5000 0.0000 0.5000
Rh: 0.0000 0.0000 0.5000
C: 0.5000 0.5000 0.0000

Output
- DFT total energy: -5.4984 eV/atom
- Energy relative to the elements, uncorrected: 6.0 eV per formula unit
- SG: P4/mmm

***

# Ta3Cu

Crystalline Ta3Cu at its relaxed geometry (GGA-PBEsol, Alexandria via LeMat-Bulk).

Lattice parameters (Å, degrees): 4.9563 4.9563 4.8815 104.00 104.00 34.53
Sites, in units of the cell vectors:
Ta: 0.0000 0.0000 0.0000
Ta: 0.2357 0.2357 0.7323
Ta: 0.7643 0.7643 0.2677
Cu: 0.5000 0.5000 0.5000

Output
- DFT total energy: -10.3113 eV/atom
- Formation energy from the elements: 0.74 eV per formula unit
- SG: C2/m

***

# K2Co2Se3O9

Crystalline K2Co2Se3O9 at its relaxed geometry (GGA-PBEsol, Alexandria via LeMat-Bulk).

Lattice parameters (Å, degrees): 5.4928 5.4928 17.1344 90.00 90.00 120.00
Sites, in units of the cell vectors:
K: 0.3333 0.6667 0.0000
K: 0.3333 0.6667 0.4261
K: 0.6667 0.3333 0.5000
K: 0.6667 0.3333 0.9261
Co: 0.3333 0.6667 0.6232
Co: 0.3333 0.6667 0.7810
Co: 0.6667 0.3333 0.1232
Co: 0.6667 0.3333 0.2810
Se: 0.0000 0.0000 0.0998
Se: 0.0000 0.0000 0.3119
Se: 0.0000 0.0000 0.5998
Se: 0.0000 0.0000 0.8119
Se: 0.3333 0.6667 0.2423
Se: 0.6667 0.3333 0.7423
O: 0.9999 0.5000 0.2013
O: 0.0001 0.5000 0.7013
O: 0.1615 0.3230 0.5534
O: 0.1615 0.8385 0.5534
O: 0.1633 0.3267 0.8562
O: 0.1633 0.8367 0.8562
O: 0.3230 0.1615 0.0534
O: 0.3267 0.1633 0.3562
O: 0.5000 0.0001 0.2013
O: 0.5000 0.9999 0.7013
O: 0.5000 0.5000 0.2013
O: 0.5000 0.5000 0.7013
O: 0.6733 0.8367 0.8562
O: 0.6770 0.8385 0.5534
O: 0.8367 0.1633 0.3562
O: 0.8367 0.6733 0.3562
O: 0.8385 0.1615 0.0534
O: 0.8385 0.6770 0.0534

Output
- DFT total energy: -5.8055 eV/atom
- Energy relative to the elements, uncorrected: -16.4 eV per formula unit
- SG: P6_3mc

***

# BaMoRh2

Crystalline BaMoRh2 at its relaxed geometry (GGA-PBEsol, Alexandria via LeMat-Bulk).

Lattice parameters (Å, degrees): 5.0514 5.0514 2.9217 90.12 90.12 89.88
Sites, in units of the cell vectors:
Ba: 0.0000 0.0000 0.0000
Mo: 0.5000 0.5000 0.0000
Rh: 0.0000 0.5000 0.5000
Rh: 0.5000 0.0000 0.5000

Output
- DFT total energy: -6.8339 eV/atom
- Formation energy from the elements: 2.86 eV per formula unit
- SG: C2/m

***

# HgIrRu

Crystalline HgIrRu at its relaxed geometry (GGA-PBEsol, Alexandria via LeMat-Bulk).

Lattice parameters (Å, degrees): 4.2712 4.2712 4.2712 60.00 60.00 60.00
Sites, in units of the cell vectors:
Hg: 0.0000 0.0000 0.0000
Ir: 0.2500 0.2500 0.2500
Ru: 0.5000 0.5000 0.5000

Output
- DFT total energy: -6.0176 eV/atom
- Formation energy from the elements: 2.51 eV per formula unit
- SG: F-43m

***

# Na5Ni2P2C2O14

Crystalline Na5Ni2P2C2O14 at its relaxed geometry (GGA-PBEsol, Alexandria via LeMat-Bulk).

Lattice parameters (Å, degrees): 8.8663 6.3747 10.2695 90.00 91.14 90.00
Sites, in units of the cell vectors:
Na: 0.0777 0.2500 0.1143
Na: 0.2407 0.0035 0.3916
Na: 0.2407 0.4965 0.3916
Na: 0.2701 0.0128 0.8710
Na: 0.2701 0.4872 0.8710
Na: 0.7299 0.5128 0.1290
Na: 0.7299 0.9872 0.1290
Na: 0.7593 0.5035 0.6084
Na: 0.7593 0.9965 0.6084
Na: 0.9223 0.7500 0.8857
Ni: 0.3426 0.7500 0.1112
Ni: 0.3536 0.7500 0.6149
Ni: 0.6464 0.2500 0.3851
Ni: 0.6574 0.2500 0.8888
P: 0.4182 0.2500 0.1472
P: 0.4302 0.2500 0.6473
P: 0.5698 0.7500 0.3527
P: 0.5818 0.7500 0.8528
C: 0.0671 0.7500 0.1338
C: 0.0780 0.7500 0.6479
C: 0.9220 0.2500 0.3521
C: 0.9329 0.2500 0.8662
O: 0.0645 0.2500 0.3438
O: 0.0762 0.2500 0.8721
O: 0.1426 0.7500 0.0244
O: 0.1479 0.7500 0.5378
O: 0.1496 0.7500 0.2384
O: 0.1655 0.7500 0.7507
O: 0.3157 0.0596 0.1099
O: 0.3157 0.4404 0.1099
O: 0.3303 0.0569 0.6136
O: 0.3303 0.4431 0.6136
O: 0.4201 0.7500 0.4248
O: 0.4331 0.7500 0.9259
O: 0.4490 0.2500 0.2978
O: 0.4629 0.2500 0.7982
O: 0.5371 0.7500 0.2018
O: 0.5510 0.7500 0.7022
O: 0.5669 0.2500 0.0741
O: 0.5799 0.2500 0.5752
O: 0.6697 0.5569 0.3864
O: 0.6697 0.9431 0.3864
O: 0.6843 0.5596 0.8901
O: 0.6843 0.9404 0.8901
O: 0.8345 0.2500 0.2493
O: 0.8504 0.2500 0.7616
O: 0.8521 0.2500 0.4622
O: 0.8574 0.2500 0.9756
O: 0.9238 0.7500 0.1279
O: 0.9355 0.7500 0.6562

Output
- DFT total energy: -6.6952 eV/atom
- Energy relative to the elements, uncorrected: -43.7 eV per formula unit
- SG: P2_1/m

***

# LiMg2Te

Crystalline LiMg2Te at its relaxed geometry (GGA-PBEsol, Alexandria via LeMat-Bulk).

Lattice parameters (Å, degrees): 5.8083 5.8083 5.8083 137.80 137.80 61.21
Sites, in units of the cell vectors:
Li: 0.0000 0.0000 0.0000
Mg: 0.2500 0.7500 0.5000
Mg: 0.7500 0.2500 0.5000
Te: 0.5000 0.5000 0.0000

Output
- DFT total energy: -2.5550 eV/atom
- Energy relative to the elements, uncorrected: -1.3 eV per formula unit
- SG: I4/mmm

***

# SbIrRhI2

Crystalline SbIrRhI2 at its relaxed geometry (GGA-PBEsol, Alexandria via LeMat-Bulk).

Lattice parameters (Å, degrees): 5.3961 5.3961 4.8956 90.00 90.00 90.00
Sites, in units of the cell vectors:
Sb: 0.0000 0.0000 0.0000
Ir: 0.0000 0.0000 0.5000
Rh: 0.5000 0.5000 0.0000
I: 0.0000 0.5000 0.5000
I: 0.5000 0.0000 0.5000

Output
- DFT total energy: -4.0858 eV/atom
- Energy relative to the elements, uncorrected: 5.6 eV per formula unit
- SG: P4/mmm

***

# BeAsBr2F

Crystalline BeAsBr2F at its relaxed geometry (GGA-PBEsol, Alexandria via LeMat-Bulk).

Lattice parameters (Å, degrees): 5.3881 5.3881 3.8086 90.00 90.00 90.00
Sites, in units of the cell vectors:
Be: 0.0000 0.0000 0.0000
As: 0.5000 0.5000 0.0000
Br: 0.0000 0.5000 0.5000
Br: 0.5000 0.0000 0.5000
F: 0.5000 0.5000 0.5000

Output
- DFT total energy: -2.5731 eV/atom
- Energy relative to the elements, uncorrected: 1.9 eV per formula unit
- SG: P4/mmm

***

# LiZnBiPt2

Crystalline LiZnBiPt2 at its relaxed geometry (GGA-PBEsol, Alexandria via LeMat-Bulk).

Lattice parameters (Å, degrees): 4.4524 4.4524 4.2442 90.00 90.00 90.00
Sites, in units of the cell vectors:
Li: 0.0000 0.0000 0.0000
Zn: 0.0000 0.0000 0.5000
Bi: 0.5000 0.5000 0.5000
Pt: 0.0000 0.5000 0.0000
Pt: 0.5000 0.0000 0.0000

Output
- DFT total energy: -4.1374 eV/atom
- Formation energy from the elements: 1.07 eV per formula unit
- SG: P4/mmm

***

# InReAg

Crystalline InReAg at its relaxed geometry (GGA-PBEsol, Alexandria via LeMat-Bulk).

Lattice parameters (Å, degrees): 6.8073 6.8073 6.8073 156.23 156.23 33.86
Sites, in units of the cell vectors:
In: 0.0000 0.0000 0.0000
Re: 0.6642 0.6642 0.0000
Ag: 0.3237 0.3237 0.0000

Output
- DFT total energy: -5.9149 eV/atom
- Formation energy from the elements: 1.88 eV per formula unit
- SG: I4mm

***

# TaAlZn2

Crystalline TaAlZn2 at its relaxed geometry (GGA-PBEsol, Alexandria via LeMat-Bulk).

Lattice parameters (Å, degrees): 9.0476 9.0476 9.0476 18.18 18.18 18.18
Sites, in units of the cell vectors:
Ta: 0.0000 0.0000 0.0000
Al: 0.7526 0.7526 0.7526
Zn: 0.2474 0.2474 0.2474
Zn: 0.5017 0.5017 0.5017

Output
- DFT total energy: -4.9264 eV/atom
- Formation energy from the elements: 0.10 eV per formula unit
- SG: R3m

***

# CdW2Se

Crystalline CdW2Se at its relaxed geometry (GGA-PBEsol, Alexandria via LeMat-Bulk).

Lattice parameters (Å, degrees): 5.4138 5.4138 5.4138 138.25 138.25 60.52
Sites, in units of the cell vectors:
Cd: 0.0000 0.0000 0.0000
W: 0.2500 0.7500 0.5000
W: 0.7500 0.2500 0.5000
Se: 0.5000 0.5000 0.0000

Output
- DFT total energy: -7.1835 eV/atom
- Energy relative to the elements, uncorrected: 3.9 eV per formula unit
- SG: I4/mmm

***

# KLiS2N

Crystalline KLiS2N at its relaxed geometry (GGA-PBEsol, Alexandria via LeMat-Bulk).

Lattice parameters (Å, degrees): 5.6355 5.6355 5.0127 90.00 90.00 90.00
Sites, in units of the cell vectors:
K: 0.0000 0.0000 0.0000
Li: 0.5000 0.5000 0.5000
S: 0.0000 0.5000 0.0000
S: 0.5000 0.0000 0.0000
N: 0.0000 0.0000 0.5000

Output
- DFT total energy: -2.8308 eV/atom
- Energy relative to the elements, uncorrected: 6.2 eV per formula unit
- SG: P4/mmm

***

# MgCoSe2

Crystalline MgCoSe2 at its relaxed geometry (GGA-PBEsol, Alexandria via LeMat-Bulk).

Lattice parameters (Å, degrees): 4.5473 4.5473 4.5473 60.00 60.00 60.00
Sites, in units of the cell vectors:
Mg: 0.0000 0.0000 0.0000
Co: 0.5000 0.5000 0.5000
Se: 0.2500 0.2500 0.2500
Se: 0.7500 0.7500 0.7500

Output
- DFT total energy: -4.3945 eV/atom
- Energy relative to the elements, uncorrected: -0.4 eV per formula unit
- SG: Fm-3m

***

# Al2ZnPb

Crystalline Al2ZnPb at its relaxed geometry (GGA-PBEsol, Alexandria via LeMat-Bulk).

Lattice parameters (Å, degrees): 4.8662 4.8662 4.8662 60.00 60.00 60.00
Sites, in units of the cell vectors:
Al: 0.0000 0.0000 0.0000
Al: 0.2500 0.2500 0.2500
Zn: 0.7500 0.7500 0.7500
Pb: 0.5000 0.5000 0.5000

Output
- DFT total energy: -3.1487 eV/atom
- Formation energy from the elements: 1.17 eV per formula unit
- SG: F-43m